Entry 1:
LiLaAlHg GGA-PBE optimized geometry; E_tot = -12.2 eV for the cell shown; space-group type = F-43m, No. 216
1.0
5.1542 0.0000 0.0000
2.5771 4.4637 0.0000
2.5771 1.4879 4.2084
Hg Li Al La
1 1 1 1
Direct
0.2500 0.2500 0.2500 Hg
0.0000 0.0000 0.0000 Li
0.7500 0.7500 0.7500 Al
0.5000 0.5000 0.5000 La

Entry 2:
LaMgAlHg2 GGA-PBE optimized geometry; E above lowest polymorph = 1227 meV per atom; space-group type = P4/mmm, No. 123
1.0
-0.4671 -4.1494 -4.1941
2.3693 -4.3128 4.0029
-5.4700 -1.2718 1.8674
Hg La Mg Al
2 1 1 1
Direct
0.0000 0.0000 0.5000 Hg
0.5000 0.0000 0.0000 Hg
0.0000 0.0000 0.0000 La
0.0000 0.5000 0.0000 Mg
0.5000 0.5000 0.5000 Al

Entry 3:
La2MgAl4Hg3 GGA-PBE optimized geometry; E_tot = -31.0 eV for the cell shown; space-group type = P-4m2, No. 115
1.0
-1.4966 0.0016 -4.2312
4.1209 -1.0177 -1.4580
-2.4441 -11.1289 0.8604
Hg Al Mg La
3 4 1 2
Direct
0.0000 0.0000 0.5000 Hg
0.0000 0.5000 0.1328 Hg
0.5000 0.0000 0.8672 Hg
0.5000 0.5000 0.0000 Al
0.0000 0.0000 0.0000 Al
0.5000 0.0000 0.6409 Al
0.0000 0.5000 0.3591 Al
0.5000 0.5000 0.5000 Mg
0.5000 0.0000 0.2484 La
0.0000 0.5000 0.7516 La

Entry 4:
LaMgAlHg2 GGA-PBE optimized geometry; E above lowest polymorph = 0 meV per atom; space-group type = I-4m2, No. 119
1.0
4.4923 0.0000 0.0000
0.0000 4.4923 0.0000
-2.2461 -2.2461 6.0334
La Hg Mg Al
1 2 1 1
Direct
0.0000 0.0000 0.0000 La
0.3827 0.3827 0.7653 Hg
0.6173 0.6173 0.2347 Hg
0.7500 0.2500 0.5000 Mg
0.2500 0.7500 0.5000 Al

Entry 5:
La12Al4HgN3 GGA-PBE optimized geometry; E_tot = -109.1 eV for the cell shown; space-group type = Im-3m, No. 229
1.0
9.1259 0.0000 0.0000
-3.0420 8.6040 0.0000
-3.0420 -4.3020 7.4512
La Al N Hg
12 4 3 1
Direct
0.0000 0.2792 0.2792 La
0.5000 0.7500 0.2500 La
0.2792 0.0000 0.2792 La
0.7500 0.2500 0.5000 La
0.2500 0.5000 0.7500 La
0.7500 0.5000 0.2500 La
0.2500 0.7500 0.5000 La
0.5000 0.2500 0.7500 La
0.7208 0.7208 0.0000 La
0.0000 0.7208 0.7208 La
0.7208 0.0000 0.7208 La
0.2792 0.2792 0.0000 La
0.5000 0.5000 0.5000 Al
0.0000 0.0000 0.5000 Al
0.0000 0.5000 0.0000 Al
0.5000 0.0000 0.0000 Al
0.0000 0.5000 0.5000 N
0.5000 0.5000 0.0000 N
0.5000 0.0000 0.5000 N
0.0000 0.0000 0.0000 Hg

Entry 6:
LaNdAlHg GGA-PBE optimized geometry; E above lowest polymorph = 39 meV per atom; space-group type = F-43m, No. 216
1.0
-0.0189 -3.9467 -3.7316
4.4903 -2.9265 -0.8806
0.1982 -5.2024 1.5484
Al Hg Nd La
1 1 1 1
Direct
0.2500 0.2500 0.2500 Al
0.7500 0.7500 0.7500 Hg
0.0000 0.0000 0.0000 Nd
0.5000 0.5000 0.5000 La

Entry 7:
LaNdAlHg GGA-PBE optimized geometry; E above lowest polymorph = 0 meV per atom; space-group type = P4mm, No. 99
1.0
3.6956 0.0000 0.0000
0.0000 3.6956 0.0000
0.0000 0.0000 8.1286
Hg La Nd Al
1 1 1 1
Direct
0.0000 0.0000 0.8458 Hg
0.5000 0.5000 0.1212 La
0.5000 0.5000 0.5971 Nd
0.0000 0.0000 0.3639 Al

Entry 8:
La2AlNiHg GGA-PBE optimized geometry; E_tot = -21.5 eV for the cell shown; space-group type = P4/mmm, No. 123
1.0
5.4571 0.0000 0.0000
0.0000 5.4571 0.0000
0.0000 0.0000 4.5674
Ni La Al Hg
1 2 1 1
Direct
0.0000 0.0000 0.0000 Ni
0.0000 0.5000 0.0000 La
0.5000 0.0000 0.0000 La
0.0000 0.0000 0.5000 Al
0.5000 0.5000 0.5000 Hg

Entry 9:
La4AlHgO GGA-PBE optimized geometry; E_tot = -71.4 eV for the cell shown; space-group type = Cmcm, No. 63
1.0
7.0138 0.0000 0.0000
0.0000 7.0260 0.0000
-3.5069 0.0000 8.1642
Al Hg La O
2 2 8 2
Direct
0.3817 0.2500 0.7634 Al
0.6183 0.7500 0.2366 Al
0.1157 0.2500 0.2314 Hg
0.8843 0.7500 0.7686 Hg
0.4259 0.7500 0.8519 La
0.0000 0.0000 0.5000 La
0.5000 0.0000 0.5000 La
0.5000 0.5000 0.5000 La
0.0000 0.5000 0.5000 La
0.9239 0.2500 0.8478 La
0.0761 0.7500 0.1522 La
0.5741 0.2500 0.1481 La
0.2450 0.7500 0.4899 O
0.7550 0.2500 0.5101 O

Entry 10:
La2AlHgPb GGA-PBE optimized geometry; E_tot = -15.8 eV for the cell shown; space-group type = P4/mmm, No. 123
1.0
5.9052 0.0000 0.0000
0.0000 5.5388 0.0000
0.0000 0.0000 5.9052
La Hg Pb Al
2 1 1 1
Direct
0.0000 0.0000 0.5000 La
0.5000 0.0000 0.0000 La
0.0000 0.0000 0.0000 Hg
0.0000 0.5000 0.0000 Pb
0.5000 0.5000 0.5000 Al

Entry 11:
La2Al4HgPd3 GGA-PBE optimized geometry; E_tot = -48.1 eV for the cell shown; space-group type = P-4m2, No. 115
1.0
4.4221 0.0000 0.0000
0.0000 4.4221 0.0000
0.0000 0.0000 10.5737
Al La Pd Hg
4 2 3 1
Direct
0.0000 0.5000 0.3614 Al
0.5000 0.0000 0.6386 Al
0.0000 0.0000 0.0000 Al
0.5000 0.5000 0.0000 Al
0.5000 0.0000 0.2443 La
0.0000 0.5000 0.7557 La
0.5000 0.0000 0.8756 Pd
0.0000 0.0000 0.5000 Pd
0.0000 0.5000 0.1244 Pd
0.5000 0.5000 0.5000 Hg

Entry 12:
La2Al3HgPd4 GGA-PBE optimized geometry; E_tot = -49.8 eV for the cell shown; space-group type = P-4m2, No. 115
1.0
4.3511 0.0000 0.0000
0.0000 4.3511 0.0000
0.0000 0.0000 10.9280
Pd Al La Hg
4 3 2 1
Direct
0.5000 0.5000 0.0000 Pd
0.0000 0.0000 0.0000 Pd
0.0000 0.5000 0.3443 Pd
0.5000 0.0000 0.6557 Pd
0.5000 0.0000 0.8844 Al
0.0000 0.0000 0.5000 Al
0.0000 0.5000 0.1156 Al
0.5000 0.0000 0.2455 La
0.0000 0.5000 0.7545 La
0.5000 0.5000 0.5000 Hg

Volume per entry: 24.21, 44.44, 23.02, 24.35, 29.25, 28.33, 27.75, 27.20, 28.74, 38.63, 20.68, 20.69 A^3/atom